# DyPaMn

An optimized crystal structure of DyPaMn (PBE-GGA, Alexandria via LeMat-Bulk).

a = 6.190 Å, b = 6.643 Å, c = 6.939 Å
α = 100.03°, β = 90.00°, γ = 90.00°
Element x y z (fractional)
Pa 0.684 0.170 0.493
Pa 0.184 0.830 0.007
Pa 0.316 0.830 0.507
Pa 0.816 0.170 0.993
Dy 0.670 0.643 0.850
Dy 0.830 0.643 0.350
Dy 0.330 0.357 0.150
Dy 0.170 0.357 0.650
Mn 0.454 0.023 0.771
Mn 0.046 0.023 0.271
Mn 0.546 0.977 0.229
Mn 0.954 0.977 0.729

Summary:
E_form   14 meV per atom
Distance to the lowest polymorph of the same formula   0 meV/atom
Calculated volume   281.0 Å³ per cell
Energy   -7.742 eV/atom